! Si5Ir3 | Alexandria via LeMat-Bulk | SCAN | PBEsol geometry; values from VASP
! * space group: P2_1/c, No. 14
! * spin magnetization: 0.000 μB per atom
! * energy relative to the elements, uncorrected: -0.72 eV per atom
&SYSTEM
  ibrav = 0, nat = 64, ntyp = 2
/
ATOMIC_SPECIES
Si 28.09 Si.upf
Ir 192.22 Ir.upf
CELL_PARAMETERS angstrom
6.407 0.000 0.000
0.000 14.154 0.000
-5.193 0.000 10.341
ATOMIC_POSITIONS crystal
Si 0.046 0.151 0.090
Si 0.046 0.349 0.590
Si 0.074 0.160 0.433
Si 0.074 0.340 0.933
Si 0.138 0.109 0.673
Si 0.138 0.391 0.173
Si 0.140 0.112 0.891
Si 0.140 0.388 0.391
Si 0.256 0.509 0.923
Si 0.256 0.512 0.705
Si 0.256 0.988 0.205
Si 0.256 0.991 0.423
Si 0.328 0.557 0.164
Si 0.328 0.943 0.664
Si 0.355 0.564 0.511
Si 0.355 0.936 0.011
Si 0.384 0.750 0.357
Si 0.384 0.750 0.857
Si 0.445 0.219 0.308
Si 0.445 0.281 0.808
Si 0.555 0.719 0.192
Si 0.555 0.781 0.692
Si 0.616 0.250 0.143
Si 0.616 0.250 0.643
Si 0.645 0.064 0.989
Si 0.645 0.436 0.489
Si 0.672 0.057 0.336
Si 0.672 0.443 0.836
Si 0.744 0.009 0.577
Si 0.744 0.012 0.795
Si 0.744 0.488 0.295
Si 0.744 0.491 0.077
Si 0.860 0.612 0.609
Si 0.860 0.888 0.109
Si 0.862 0.609 0.827
Si 0.862 0.891 0.327
Si 0.926 0.660 0.067
Si 0.926 0.840 0.567
Si 0.954 0.651 0.410
Si 0.954 0.849 0.910
Ir 0.047 0.248 0.256
Ir 0.047 0.252 0.756
Ir 0.083 0.544 0.273
Ir 0.083 0.956 0.773
Ir 0.233 0.665 0.993
Ir 0.233 0.835 0.493
Ir 0.238 0.668 0.634
Ir 0.238 0.832 0.134
Ir 0.427 0.098 0.111
Ir 0.427 0.402 0.611
Ir 0.435 0.094 0.604
Ir 0.435 0.406 0.104
Ir 0.565 0.594 0.896
Ir 0.565 0.906 0.396
Ir 0.573 0.598 0.389
Ir 0.573 0.902 0.889
Ir 0.762 0.168 0.866
Ir 0.762 0.332 0.366
Ir 0.767 0.165 0.507
Ir 0.767 0.335 0.007
Ir 0.917 0.044 0.227
Ir 0.917 0.456 0.727
Ir 0.953 0.748 0.244
Ir 0.953 0.752 0.744